This record from Alexandria via LeMat-Bulk describes a geometry-optimized La2TbHoSe4 structure. The functional is PBE.

## Properties
SG: P2/m, No. 10
Crystal system: monoclinic
Raw formation energy, kcal/mol of atoms: -43.4
Total magnetic moment, μB per cell: 0.0

Cell lengths 4.129, 7.199, 7.407 Å; angles 108.71, 90.00, 90.00 degrees
Element x y z (fractional)
La 0.000 0.500 0.500
Se 0.000 0.745 0.231
Ho 0.000 0.000 0.000
Se 0.000 0.255 0.769
Tb 0.500 0.500 0.000
La 0.500 0.000 0.500
Se 0.500 0.759 0.770
Se 0.500 0.241 0.230